Here is a PBEsol-optimized structure of Li4TcHg from Alexandria via LeMat-Bulk. Energies are from meta-GGA SCAN.

abc: 4.8999 4.8999 4.8999
angles: 60.00 60.00 60.00
Element x y z (fractional)
1 Li 0.3760 0.3760 0.3760
2 Li 0.3760 0.3760 0.8720
3 Li 0.3760 0.8720 0.3760
4 Li 0.8720 0.3760 0.3760
5 Tc 0.7500 0.7500 0.7500
6 Hg 0.0000 0.0000 0.0000

Energy of formation ... 0.2558 eV/atom
Crystal system ... cubic
Uncorrected energy ... -18.542 eV per atom